Entry i
Computed, not measured: a geometry-optimized KPt2Pb2 structure at the PBE level of DFT.

Lattice parameters (Å, degrees): 8.4264 8.4264 3.3976 90.00 90.00 90.00
Last column: nearest neighbours and their distance in Å.
Fractional coordinates of all 10 atoms:
Pb  0.6531  0.8469  0.5000  6 Pt 2.95-3.07
Pb  0.1531  0.6531  0.5000  6 Pt 2.95-3.07
Pb  0.8469  0.3469  0.5000  6 Pt 2.95-3.07
Pb  0.3469  0.1531  0.5000  6 Pt 2.95-3.07
Pt  0.6320  0.1320  0.0000  6 Pb 2.95-3.07, 1 Pt 3.14, 2 K 3.29
Pt  0.1320  0.3680  0.0000  6 Pb 2.95-3.07, 1 Pt 3.14, 2 K 3.29
Pt  0.3680  0.8680  0.0000  6 Pb 2.95-3.07, 1 Pt 3.14, 2 K 3.29
Pt  0.8680  0.6320  0.0000  6 Pb 2.95-3.07, 1 Pt 3.14, 2 K 3.29
K  0.5000  0.5000  0.0000  4 Pt 3.29, 2 K 3.40, 8 Pb 3.62
K  0.0000  0.0000  0.0000  4 Pt 3.29, 2 K 3.40, 8 Pb 3.62

Values from the calculation:
V, Å³/cell: 241.2

=====

Entry ii
Computed, not measured: a geometry-optimized KPt2Pb2 structure at the PBE level of DFT.

Lattice parameters (Å, degrees): 5.0196 5.0196 6.6371 67.78 67.78 90.00
Last column: nearest neighbours and their distance in Å.
Fractional coordinates of all 5 atoms:
K  0.0000  0.0000  0.0000  8 Pt 3.76, 10 Pb 3.92-3.95
Pb  0.3521  0.3521  0.2958  4 Pt 2.76
Pb  0.6479  0.6479  0.7042  4 Pt 2.76
Pt  0.7500  0.2500  0.5000  4 Pb 2.76
Pt  0.2500  0.7500  0.5000  4 Pb 2.76

Values from the calculation:
V, Å³/cell: 141.3

=====

Most stable: entry ii. Least stable: entry i.